No. 1
# La12Tb5Dy2

A relaxed La12Tb5Dy2 crystal (PBE, Alexandria).

a b c (Å): 15.284 10.862 8.190
angles (deg): 90.00 94.20 90.00
Space group C2/m (No. 12)
Inequivalent atoms, fractional coordinates:
La (0.055, 0.000, 0.214) x4
La (0.107, 0.226, 0.885) x8
La (0.126, 0.500, 0.600) x4
La (0.182, 0.278, 0.290) x8
Tb (0.000, 0.500, 0.000) x2
Tb (0.158, 0.000, 0.597) x4
Tb (0.240, 0.500, 0.986) x4
Dy (0.000, 0.224, 0.500) x4

**Distance to the lowest polymorph of the same formula**: 0.000 eV/atom
**Formation energy**: 0.12 eV/atom
**Calculated total energy**: -178.341 eV/cell
**Calculated density**: 6.8 g cm⁻³

***

No. 2
# LaTbDy2

A relaxed LaTbDy2 crystal (PBE, Alexandria).

a b c (Å): 3.6020 3.6020 35.0911
angles (deg): 90.00 90.00 120.00
Space group R-3m (No. 166, hexagonal axes)
Inequivalent atoms, fractional coordinates:
La (0.0000, 0.0000, 0.0000) x3
Tb (0.0000, 0.0000, 0.5000) x3
Dy (0.0000, 0.0000, 0.2483) x6

**Distance to the lowest polymorph of the same formula**: 0.000 eV/atom
**Formation energy**: 0.02 eV/atom
**Calculated total energy**: -56.051 eV/cell
**Calculated density**: 7.9 g cm⁻³